No. 1
# Tm5Sn2Ir2, relaxed, DFT PBE
data_Tm5Sn2Ir2
_chemical_formula_sum 'Tm10 Sn4 Ir4'
_cell_length_a 8.330
_cell_length_b 6.796
_cell_length_c 9.795
_cell_angle_alpha 110.30
_cell_angle_beta 115.17
_cell_angle_gamma 90.00
_space_group_name_H-M_alt 'P 1'
_space_group_IT_number 1
_space_group_name_Hall 'P 1'
loop_
_atom_site_label
_atom_site_type_symbol
_atom_site_fract_x
_atom_site_fract_y
_atom_site_fract_z
Tm1 Tm 0.258 0.633 0.920
Tm2 Tm 0.742 0.713 0.080
Tm3 Tm 0.162 0.133 0.920
Tm4 Tm 0.838 0.213 0.080
Tm5 Tm 0.263 0.089 0.299
Tm6 Tm 0.737 0.789 0.701
Tm7 Tm 0.536 0.589 0.299
Tm8 Tm 0.464 0.289 0.701
Tm9 Tm 0.037 0.790 0.500
Tm10 Tm 0.963 0.290 0.500
Sn1 Sn 0.138 0.588 0.202
Sn2 Sn 0.862 0.386 0.798
Sn3 Sn 0.565 0.088 0.202
Sn4 Sn 0.435 0.886 0.798
Ir1 Ir 0.000 0.863 0.000
Ir2 Ir 0.500 0.363 0.000
Ir3 Ir 0.250 0.486 0.500
Ir4 Ir 0.750 0.986 0.500
# Volume ... 463.55 Å³ per cell
# Energy of formation ... -587.3 meV per atom
# N(E_F) ... 0.58 states/eV/atom

No. 2
# Ca3YAs, relaxed, DFT PBE
data_Ca3YAs
_chemical_formula_sum 'Ca3 Y1 As1'
_cell_length_a 5.934
_cell_length_b 5.934
_cell_length_c 5.934
_cell_angle_alpha 90.00
_cell_angle_beta 90.00
_cell_angle_gamma 90.00
_space_group_name_H-M_alt 'P 1'
_space_group_IT_number 1
_space_group_name_Hall 'P 1'
loop_
_atom_site_label
_atom_site_type_symbol
_atom_site_fract_x
_atom_site_fract_y
_atom_site_fract_z
Y1 Y 0.000 0.000 0.000
As1 As 0.500 0.500 0.500
Ca1 Ca 0.000 0.500 0.000
Ca2 Ca 0.000 0.000 0.500
Ca3 Ca 0.500 0.000 0.000
# Volume ... 208.97 Å³ per cell
# Energy of formation ... 977.8 meV per atom
# N(E_F) ... 0.83 states/eV/atom

No. 3
# La3TbPm7, relaxed, DFT PBE
data_La3TbPm7
_chemical_formula_sum 'La3 Tb1 Pm7'
_cell_length_a 6.533
_cell_length_b 7.856
_cell_length_c 7.855
_cell_angle_alpha 81.90
_cell_angle_beta 86.71
_cell_angle_gamma 86.70
_space_group_name_H-M_alt 'P 1'
_space_group_IT_number 1
_space_group_name_Hall 'P 1'
loop_
_atom_site_label
_atom_site_type_symbol
_atom_site_fract_x
_atom_site_fract_y
_atom_site_fract_z
La1 La 0.000 0.824 0.176
La2 La 0.500 0.000 0.000
La3 La 0.000 0.176 0.824
Tb1 Tb 0.500 0.500 0.500
Pm1 Pm 0.787 0.239 0.239
Pm2 Pm 0.738 0.912 0.569
Pm3 Pm 0.262 0.431 0.088
Pm4 Pm 0.738 0.569 0.912
Pm5 Pm 0.000 0.500 0.500
Pm6 Pm 0.262 0.088 0.431
Pm7 Pm 0.213 0.761 0.761
# Volume ... 398.00 Å³ per cell
# Energy of formation ... 214.8 meV per atom
# N(E_F) ... 1.48 states/eV/atom